1.
Computed, not measured: a geometry-optimized Cd2ReMo structure at the GGA-PBE level of DFT.

Cell: 6.014 6.014 6.014 Å, 101.38 101.38 127.25°
Atoms (fractional coordinates):
Cd 0.120 0.625 0.995
Cd 0.375 0.370 0.495
Cd 0.630 0.125 0.005
Cd 0.875 0.880 0.505
Re 0.000 0.000 0.000
Re 0.750 0.250 0.500
Mo 0.250 0.750 0.500
Mo 0.500 0.500 0.000

Output
Its space group is I-42d. The formation energy comes out at 1.295 eV/atom. For the total energy, the calculation gives -4.983 eV/atom.

2.
Computed, not measured: a geometry-optimized CdReMo2 structure at the GGA-PBE level of DFT.

Cell: 5.289 5.289 2.706 Å, 97.59 97.59 116.24°
Atoms (fractional coordinates):
Cd 0.000 0.000 0.000
Re 0.500 0.500 0.000
Mo 0.000 0.500 0.500
Mo 0.500 0.000 0.500

Output
Its space group is C2/m. The formation energy comes out at 0.455 eV/atom. For the total energy, the calculation gives -8.301 eV/atom.

3.
Computed, not measured: a geometry-optimized CdReMo structure at the GGA-PBE level of DFT.

Cell: 4.945 4.945 4.945 Å, 148.00 128.44 61.98°
Atoms (fractional coordinates):
Cd 0.000 0.000 0.000
Re 0.332 0.332 0.000
Mo 0.669 0.669 0.000

Output
Its space group is Imm2. The formation energy comes out at 0.496 eV/atom. For the total energy, the calculation gives -7.569 eV/atom.

4.
Computed, not measured: a geometry-optimized CdRe2Mo structure at the GGA-PBE level of DFT.

Cell: 5.366 5.366 5.366 Å, 146.26 129.47 62.14°
Atoms (fractional coordinates):
Cd 0.000 0.000 0.000
Re 0.506 0.506 0.000
Re 0.735 0.235 0.500
Mo 0.270 0.770 0.500

Output
Its space group is Imm2. The formation energy comes out at 0.504 eV/atom. For the total energy, the calculation gives -8.656 eV/atom.

5.
Computed, not measured: a geometry-optimized CdRe2Mo structure at the GGA-PBE level of DFT.

Cell: 4.974 4.974 2.818 Å, 90.00 90.00 111.83°
Atoms (fractional coordinates):
Cd 0.000 0.000 0.000
Re 0.000 0.500 0.500
Re 0.500 0.000 0.500
Mo 0.500 0.500 0.000

Output
Its space group is Cmmm. The formation energy comes out at 0.628 eV/atom. For the total energy, the calculation gives -8.533 eV/atom.

6.
Computed, not measured: a geometry-optimized CdRe2Mo structure at the GGA-PBE level of DFT.

Cell: 5.014 5.014 4.847 Å, 102.24 102.24 33.55°
Atoms (fractional coordinates):
Cd 0.000 0.000 0.000
Re 0.238 0.238 0.719
Re 0.508 0.508 0.505
Mo 0.765 0.765 0.276

Output
Its space group is Cm. The formation energy comes out at 0.470 eV/atom. For the total energy, the calculation gives -8.691 eV/atom.

7.
Computed, not measured: a geometry-optimized Cd2ReMo structure at the GGA-PBE level of DFT.

Cell: 9.977 9.977 9.977 Å, 16.52 16.52 16.52°
Atoms (fractional coordinates):
Cd 0.249 0.249 0.249
Cd 0.751 0.751 0.751
Re 0.500 0.500 0.500
Mo 0.000 0.000 0.000

Output
Its space group is R-3m. The formation energy comes out at 0.635 eV/atom. For the total energy, the calculation gives -5.643 eV/atom.

8.
Computed, not measured: a geometry-optimized CdRe2Mo structure at the GGA-PBE level of DFT.

Cell: 4.926 4.926 4.926 Å, 132.12 132.12 70.04°
Atoms (fractional coordinates):
Cd 0.000 0.000 0.000
Re 0.500 0.500 0.000
Re 0.750 0.250 0.500
Mo 0.250 0.750 0.500

Output
Its space group is I-4m2. The formation energy comes out at 0.581 eV/atom. For the total energy, the calculation gives -8.580 eV/atom.